# 1
4
Lattice="3.4668 0.0000 0.0000 0.0000 4.7240 0.0000 -1.4857 0.0000 6.6955" Properties=species:S:1:pos:R:3 comment="AlInPb2 (PBE-GGA, optimized geometry)" e_above_lowest_polymorph_mev_per_atom=17 m_tot_mub_per_fu=0.00 crystal_system=monoclinic formation_enthalpy_0k_mev_per_atom=148 pbc="T T T"
Al 0.0000 0.0000 0.0000
In 0.4180 2.3620 1.7313
Pb 0.3267 2.3620 5.3717
Pb 2.1505 0.0000 3.3179

***

# 2
12
Lattice="9.9574 -2.2510 0.0000 9.9574 2.2510 0.0000 -2.0958 0.0000 9.0353" Properties=species:S:1:pos:R:3 comment="RbPr2Pu3Te6 (PBE-GGA, optimized geometry)" formation_energy_uncorrected_ev_per_atom=-1.181 m_tot_mub_per_fu=6.04 crystal_system=monoclinic pbc="T T T"
Rb 0.0000 0.0000 0.0000
Pr 5.2078 0.0000 5.9613
Pr 12.6111 0.0000 3.0740
Pu -1.0479 0.0000 4.5177
Pu 6.3414 0.0000 1.5023
Pu 11.4775 0.0000 7.5330
Te 2.0423 0.0000 5.3308
Te 3.3017 0.0000 0.7814
Te 8.3985 0.0000 6.5731
Te 9.4204 0.0000 2.4622
Te 14.5172 0.0000 8.2539
Te 15.7766 0.0000 3.7045

***

# 3
4
Lattice="2.7416 -4.1163 0.0000 2.7416 4.1163 0.0000 0.0000 0.0000 2.8492" Properties=species:S:1:pos:R:3 comment="ZrCuRe2 (PBE-GGA, optimized geometry)" e_above_lowest_polymorph_mev_per_atom=352 m_tot_mub_per_fu=0.00 crystal_system=orthorhombic formation_enthalpy_0k_mev_per_atom=373 pbc="T T T"
Zr 0.0000 0.0000 0.0000
Cu 2.7416 0.0000 0.0000
Re 1.3708 2.0581 1.4246
Re 1.3708 -2.0581 1.4246

***

# 4
12
Lattice="-1.9398 1.9398 11.7099 1.9398 -1.9398 11.7099 1.9398 1.9398 -11.7099" Properties=species:S:1:pos:R:3 comment="Zn2Mo (PBE-GGA, optimized geometry)" m_tot_mub_per_fu=0.00 crystal_system=tetragonal formation_enthalpy_0k_mev_per_atom=76 pbc="T T T"
Zn 1.9398 -0.9699 6.8388
Zn 1.9398 0.9699 -2.9566
Zn 1.9398 -0.9699 10.7260
Zn 0.0000 0.9699 2.8983
Zn 1.9398 0.9699 8.8115
Zn 0.0000 2.9096 0.9839
Zn 0.0000 0.9699 14.6665
Zn 0.0000 2.9096 4.8711
Mo 1.9398 0.9699 0.9821
Mo 1.9398 0.9699 4.8729
Mo 0.0000 0.9699 6.8370
Mo 0.0000 0.9699 10.7278